A relaxed NaPm4Se6 crystal. Source: Alexandria via LeMat-Bulk, functional PBE-GGA.

Structure (POSCAR):
```
NaPm4Se6
1.0
5.864 3.386 4.677
-5.864 3.386 4.677
0.000 -6.771 4.677
Na Pm Se
2 8 12
direct
0.000 0.000 0.000
0.500 0.500 0.500
0.140 0.750 0.360
0.250 0.250 0.250
0.250 0.640 0.860
0.360 0.140 0.750
0.640 0.860 0.250
0.750 0.360 0.140
0.750 0.750 0.750
0.860 0.250 0.640
0.061 0.913 0.679
0.087 0.321 0.939
0.179 0.413 0.561
0.321 0.939 0.087
0.413 0.561 0.179
0.439 0.821 0.587
0.561 0.179 0.413
0.587 0.439 0.821
0.679 0.061 0.913
0.821 0.587 0.439
0.913 0.679 0.061
0.939 0.087 0.321
```

Output
Formation energy without anion corrections = -1690 meV/atom
Total DFT energy (no corrections) = -119.635 eV per cell

=====

A relaxed NaPm3Se4 crystal. Source: Alexandria via LeMat-Bulk, functional PBE-GGA.

Structure (POSCAR):
```
NaPm3Se4
1.0
5.934 0.000 0.000
0.000 5.934 0.000
0.000 0.000 5.934
Na Pm Se
1 3 4
direct
0.000 0.000 0.000
0.000 0.500 0.500
0.500 0.000 0.500
0.500 0.500 0.000
0.000 0.000 0.500
0.000 0.500 0.000
0.500 0.000 0.000
0.500 0.500 0.500
```

Output
Formation energy without anion corrections = -1783 meV/atom
Total DFT energy (no corrections) = -43.769 eV per cell

=====

A relaxed NaPm4Se5 crystal. Source: Alexandria via LeMat-Bulk, functional PBE-GGA.

Structure (POSCAR):
```
NaPm4Se5
1.0
-2.105 2.959 10.542
2.105 -2.959 10.542
2.105 2.959 -10.542
Na Pm Se
1 4 5
direct
0.000 0.000 0.000
0.203 0.203 0.000
0.400 0.400 0.000
0.600 0.600 0.000
0.797 0.797 0.000
0.102 0.602 0.500
0.301 0.801 0.500
0.500 0.000 0.500
0.699 0.199 0.500
0.898 0.398 0.500
```

Output
Formation energy without anion corrections = -1789 meV/atom
Total DFT energy (no corrections) = -55.636 eV per cell

=====

A relaxed NaPmSe2 crystal. Source: Alexandria via LeMat-Bulk, functional PBE-GGA.

Structure (POSCAR):
```
NaPmSe2
1.0
2.128 1.228 7.011
-2.128 1.228 7.011
0.000 -2.457 7.011
Na Pm Se
1 1 2
direct
0.000 0.000 0.000
0.500 0.500 0.500
0.245 0.245 0.245
0.755 0.755 0.755
```

Output
Formation energy without anion corrections = -1693 meV/atom
Total DFT energy (no corrections) = -19.809 eV per cell

=====

A relaxed NaPmSe2 crystal. Source: Alexandria via LeMat-Bulk, functional PBE-GGA.

Structure (POSCAR):
```
NaPmSe2
1.0
2.109 1.218 7.317
-2.109 1.218 7.317
0.000 -2.436 7.317
Na Pm Se
1 1 2
direct
0.000 0.000 0.000
0.829 0.829 0.829
0.239 0.239 0.239
0.419 0.419 0.419
```

Output
Formation energy without anion corrections = -1655 meV/atom
Total DFT energy (no corrections) = -19.657 eV per cell

=====

A relaxed NaPmSe2 crystal. Source: Alexandria via LeMat-Bulk, functional PBE-GGA.

Structure (POSCAR):
```
NaPmSe2
1.0
3.666 0.000 0.000
0.000 3.666 0.000
0.000 0.000 7.531
Na Pm Se
1 1 2
direct
0.000 0.000 0.000
0.000 0.000 0.500
0.500 0.500 0.272
0.500 0.500 0.728
```

Output
Formation energy without anion corrections = -1418 meV/atom
Total DFT energy (no corrections) = -18.712 eV per cell

=====

A relaxed NaPm6Se8 crystal. Source: Alexandria via LeMat-Bulk, functional PBE-GGA.

Structure (POSCAR):
```
NaPm6Se8
1.0
0.000 5.910 5.910
5.910 0.000 5.910
5.910 5.910 0.000
Na Pm Se
1 6 8
direct
0.000 0.000 0.000
0.000 0.000 0.500
0.000 0.500 0.000
0.000 0.500 0.500
0.500 0.000 0.000
0.500 0.000 0.500
0.500 0.500 0.000
0.250 0.250 0.250
0.252 0.252 0.748
0.252 0.748 0.252
0.252 0.748 0.748
0.748 0.252 0.252
0.748 0.252 0.748
0.748 0.748 0.252
0.750 0.750 0.750
```

Output
Formation energy without anion corrections = -1813 meV/atom
Total DFT energy (no corrections) = -84.889 eV per cell

=====

A relaxed NaPm3Sm2Se6 crystal. Source: Alexandria via LeMat-Bulk, functional PBE-GGA.

Structure (POSCAR):
```
NaPm3Sm2Se6
1.0
9.141 -2.091 0.000
9.141 2.091 0.000
-1.924 0.000 8.182
Na Pm Sm Se
1 3 2 6
direct
0.000 0.000 0.000
0.000 0.000 0.500
0.336 0.336 0.173
0.664 0.664 0.827
0.332 0.332 0.660
0.668 0.668 0.340
0.166 0.166 0.583
0.167 0.167 0.084
0.498 0.498 0.750
0.502 0.502 0.250
0.833 0.833 0.916
0.834 0.834 0.417
```

Output
Formation energy without anion corrections = -1791 meV/atom
Total DFT energy (no corrections) = -67.409 eV per cell

=====

A relaxed NaPm2Sm3Se6 crystal. Source: Alexandria via LeMat-Bulk, functional PBE-GGA.

Structure (POSCAR):
```
NaPm2Sm3Se6
1.0
3.619 -6.278 0.000
3.619 6.278 0.000
-2.429 0.000 6.846
Na Pm Sm Se
1 2 3 6
direct
0.000 0.000 0.000
0.334 0.666 0.000
0.666 0.334 0.000
0.165 0.835 0.500
0.500 0.500 0.500
0.835 0.165 0.500
0.083 0.414 0.252
0.246 0.246 0.753
0.414 0.083 0.252
0.586 0.917 0.748
0.754 0.754 0.247
0.917 0.586 0.748
```

Output
Formation energy without anion corrections = -1788 meV/atom
Total DFT energy (no corrections) = -67.339 eV per cell

=====

A relaxed NaPm4Sm3Se8 crystal. Source: Alexandria via LeMat-Bulk, functional PBE-GGA.

Structure (POSCAR):
```
NaPm4Sm3Se8
1.0
4.187 2.417 6.840
-4.187 2.417 6.840
0.000 -4.835 6.840
Na Pm Sm Se
1 4 3 8
direct
0.000 0.000 0.000
0.000 0.000 0.500
0.000 0.500 0.000
0.500 0.000 0.000
0.500 0.500 0.500
0.000 0.500 0.500
0.500 0.000 0.500
0.500 0.500 0.000
0.248 0.248 0.751
0.248 0.751 0.248
0.249 0.752 0.752
0.251 0.251 0.251
0.749 0.749 0.749
0.751 0.248 0.248
0.752 0.249 0.752
0.752 0.752 0.249
```

Output
Formation energy without anion corrections = -1794 meV/atom
Total DFT energy (no corrections) = -91.057 eV per cell

=====

A relaxed NaPm2SmSe4 crystal. Source: Alexandria via LeMat-Bulk, functional PBE-GGA.

Structure (POSCAR):
```
NaPm2SmSe4
1.0
7.279 0.000 0.000
0.000 4.177 0.000
-2.386 0.000 6.878
Na Pm Sm Se
1 2 1 4
direct
0.000 0.000 0.000
0.500 0.000 0.500
0.500 0.500 0.000
0.000 0.500 0.500
0.247 0.000 0.750
0.250 0.500 0.251
0.750 0.500 0.749
0.753 0.000 0.250
```

Output
Formation energy without anion corrections = -1767 meV/atom
Total DFT energy (no corrections) = -43.612 eV per cell

=====

A relaxed Na2Pm3SmSe6 crystal. Source: Alexandria via LeMat-Bulk, functional PBE-GGA.

Structure (POSCAR):
```
Na2Pm3SmSe6
1.0
3.637 -6.295 0.000
3.637 6.295 0.000
-2.417 0.000 6.902
Na Pm Sm Se
2 3 1 6
direct
0.166 0.834 0.000
0.834 0.166 0.000
0.000 0.000 0.500
0.331 0.669 0.500
0.669 0.331 0.500
0.500 0.500 0.000
0.086 0.417 0.751
0.254 0.254 0.253
0.417 0.086 0.751
0.583 0.914 0.249
0.746 0.746 0.747
0.914 0.583 0.249
```

Output
Formation energy without anion corrections = -1739 meV/atom
Total DFT energy (no corrections) = -63.388 eV per cell

=====

A relaxed Na3Pm2SmSe6 crystal. Source: Alexandria via LeMat-Bulk, functional PBE-GGA.

Structure (POSCAR):
```
Na3Pm2SmSe6
1.0
3.679 -6.371 0.000
3.679 6.371 0.000
-2.452 0.000 7.011
Na Pm Sm Se
3 2 1 6
direct
0.000 0.000 0.000
0.333 0.667 0.000
0.667 0.333 0.000
0.167 0.833 0.500
0.833 0.167 0.500
0.500 0.500 0.500
0.090 0.422 0.265
0.246 0.246 0.734
0.422 0.090 0.265
0.578 0.910 0.735
0.754 0.754 0.266
0.910 0.578 0.735
```

Output
Formation energy without anion corrections = -1693 meV/atom
Total DFT energy (no corrections) = -59.406 eV per cell

=====

A relaxed Na2PmSn3Se6 crystal. Source: Alexandria via LeMat-Bulk, functional PBE-GGA.

Structure (POSCAR):
```
Na2PmSn3Se6
1.0
3.656 -6.324 0.000
3.656 6.324 0.000
-2.428 0.000 7.061
Na Pm Sn Se
2 1 3 6
direct
0.167 0.833 0.000
0.833 0.167 0.000
0.500 0.500 0.000
0.000 0.000 0.500
0.336 0.664 0.500
0.664 0.336 0.500
0.095 0.415 0.751
0.265 0.265 0.258
0.415 0.095 0.751
0.585 0.905 0.249
0.735 0.735 0.742
0.905 0.585 0.249
```

Output
Formation energy without anion corrections = -904 meV/atom
Total DFT energy (no corrections) = -51.148 eV per cell

=====

A relaxed Na2PmSnSe4 crystal. Source: Alexandria via LeMat-Bulk, functional PBE-GGA.

Structure (POSCAR):
```
Na2PmSnSe4
1.0
7.310 0.000 0.000
0.000 4.169 0.000
-2.402 0.000 7.033
Na Pm Sn Se
2 1 1 4
direct
0.000 0.000 0.000
0.500 0.500 0.000
0.000 0.500 0.500
0.500 0.000 0.500
0.251 0.000 0.733
0.260 0.500 0.268
0.740 0.500 0.732
0.749 0.000 0.267
```

Output
Formation energy without anion corrections = -1175 meV/atom
Total DFT energy (no corrections) = -34.729 eV per cell

=====

A relaxed Na3Pm2SnSe6 crystal. Source: Alexandria via LeMat-Bulk, functional PBE-GGA.

Structure (POSCAR):
```
Na3Pm2SnSe6
1.0
3.659 -6.337 0.000
3.659 6.337 0.000
-2.443 0.000 7.007
Na Pm Sn Se
3 2 1 6
direct
0.000 0.000 0.000
0.336 0.664 0.000
0.664 0.336 0.000
0.167 0.833 0.500
0.833 0.167 0.500
0.500 0.500 0.500
0.095 0.422 0.266
0.250 0.250 0.732
0.422 0.095 0.266
0.578 0.905 0.734
0.750 0.750 0.268
0.905 0.578 0.734
```

Output
Formation energy without anion corrections = -1337 meV/atom
Total DFT energy (no corrections) = -54.415 eV per cell

=====

A relaxed NaPm2Sn3Se6 crystal. Source: Alexandria via LeMat-Bulk, functional PBE-GGA.

Structure (POSCAR):
```
NaPm2Sn3Se6
1.0
9.345 -2.185 0.000
9.345 2.185 0.000
-2.078 0.000 8.234
Na Pm Sn Se
1 2 3 6
direct
0.000 0.000 0.000
0.334 0.334 0.671
0.666 0.666 0.329
0.000 0.000 0.500
0.341 0.341 0.145
0.659 0.659 0.855
0.169 0.169 0.573
0.172 0.172 0.089
0.494 0.494 0.746
0.506 0.506 0.254
0.828 0.828 0.911
0.831 0.831 0.427
```

Output
Formation energy without anion corrections = -1016 meV/atom
Total DFT energy (no corrections) = -55.922 eV per cell

=====

A relaxed NaSr2PmSe4 crystal. Source: Alexandria via LeMat-Bulk, functional PBE-GGA.

Structure (POSCAR):
```
NaSr2PmSe4
1.0
7.488 0.000 0.000
0.000 4.364 0.000
-2.420 0.000 7.126
Na Sr Pm Se
1 2 1 4
direct
0.000 0.000 0.000
0.500 0.000 0.500
0.500 0.500 0.000
0.000 0.500 0.500
0.235 0.000 0.740
0.241 0.500 0.258
0.759 0.500 0.742
0.765 0.000 0.260
```

Output
Formation energy without anion corrections = -1846 meV/atom
Total DFT energy (no corrections) = -38.136 eV per cell

=====

A relaxed NaTb3Pm2Se6 crystal. Source: Alexandria via LeMat-Bulk, functional PBE-GGA.

Structure (POSCAR):
```
NaTb3Pm2Se6
1.0
9.067 -2.063 0.000
9.067 2.063 0.000
-1.957 0.000 8.111
Na Tb Pm Se
1 3 2 6
direct
0.000 0.000 0.000
0.000 0.000 0.500
0.334 0.334 0.173
0.666 0.666 0.827
0.330 0.330 0.657
0.670 0.670 0.343
0.163 0.163 0.589
0.168 0.168 0.077
0.499 0.499 0.254
0.501 0.501 0.746
0.832 0.832 0.923
0.837 0.837 0.411
```

Output
Formation energy without anion corrections = -1782 meV/atom
Total DFT energy (no corrections) = -66.997 eV per cell

=====

A relaxed Na4Tb3PmSe8 crystal. Source: Alexandria via LeMat-Bulk, functional PBE-GGA.

Structure (POSCAR):
```
Na4Tb3PmSe8
1.0
4.187 2.417 7.011
-4.187 2.417 7.011
0.000 -4.835 7.011
Na Tb Pm Se
4 3 1 8
direct
0.000 0.000 0.000
0.000 0.500 0.500
0.500 0.000 0.500
0.500 0.500 0.000
0.000 0.000 0.500
0.000 0.500 0.000
0.500 0.000 0.000
0.500 0.500 0.500
0.239 0.746 0.746
0.243 0.243 0.243
0.254 0.254 0.761
0.254 0.761 0.254
0.746 0.239 0.746
0.746 0.746 0.239
0.757 0.757 0.757
0.761 0.254 0.254
```

Output
Formation energy without anion corrections = -1703 meV/atom
Total DFT energy (no corrections) = -79.046 eV per cell